DFT (PBE-GGA) results for an optimized crystal structure of GaTeF3.

a = 4.2896 Å, b = 4.2896 Å, c = 4.2896 Å
α = 90.00°, β = 90.00°, γ = 90.00°
With the nearest neighbours (Å) after each atom.
Space group Pm-3m (No. 221)
Inequivalent atoms, fractional coordinates:
1 Ga 0.0000 0.0000 0.0000  6 F 2.14
2 Te 0.5000 0.5000 0.5000  12 F 3.03
3 F 0.0000 0.0000 0.5000  2 Ga 2.14

Calculated values
Total DFT energy (no corrections) in eV per atom: -3.648
Energy above the most stable polymorph in this dataset in meV per atom: 0
Magnetic moment in μB per atom: 0.459